[1]
Compound: RbTlAsH
Source: Alexandria via LeMat-Bulk
Functional: PBE
Structure: optimized geometry

a = 5.2746 Å, b = 4.5049 Å, c = 13.2511 Å
α = 90.00°, β = 111.44°, γ = 90.00°
Closest atoms and distances in Å follow each position.
Element x y z (fractional)
Tl1 0.8124 0.0000 0.1231  2 As 2.84
As1 0.6462 0.0000 0.4833  1 H 1.57
H1 0.6530 0.5000 0.8659  1 As 1.57
Rb1 0.0703 0.5000 0.3815  2 H 3.10
As2 0.6462 0.5000 0.9833  1 H 1.57
Rb2 0.0703 0.0000 0.8815  2 H 3.10
Tl2 0.8124 0.5000 0.6231  2 As 2.84
H2 0.6530 0.0000 0.3659  1 As 1.57

Properties
Polymorph energy (0 for the lowest one)   61 meV per atom

---

[2]
Compound: RbTl2AsH
Source: Alexandria via LeMat-Bulk
Functional: PBE
Structure: optimized geometry

a = 5.0387 Å, b = 5.1035 Å, c = 5.0387 Å
α = 90.00°, β = 90.00°, γ = 90.00°
Closest atoms and distances in Å follow each position.
Element x y z (fractional)
Tl1 0.5000 0.0000 0.0000  2 H 2.52
H1 0.0000 0.0000 0.0000  4 Tl 2.52, 2 Rb 2.55
As1 0.5000 0.5000 0.5000  4 Rb 3.56, 8 Tl 3.59
Tl2 0.0000 0.0000 0.5000  2 H 2.52
Rb1 0.0000 0.5000 0.0000  2 H 2.55

Properties
E_tot   -2.60 eV/atom
DOS(E_F)   3.4 states/eV/cell

---

[3]
Compound: RbTlAsH
Source: Alexandria via LeMat-Bulk
Functional: PBE
Structure: optimized geometry

a = 6.6893 Å, b = 4.8189 Å, c = 8.3324 Å
α = 90.00°, β = 114.50°, γ = 90.00°
Closest atoms and distances in Å follow each position.
Element x y z (fractional)
H1 0.6931 0.0000 0.7408  1 As 1.58
Tl1 0.1485 0.0000 0.5592  3 As 3.02-3.03, 1 H 3.31
Rb1 0.6001 0.0000 0.0437  3 H 2.84
Rb2 0.6001 0.5000 0.5437  3 H 2.84
Tl2 0.1485 0.5000 0.0592  3 As 3.02-3.03, 1 H 3.31
As1 0.9528 0.5000 0.3275  1 H 1.58
As2 0.9528 0.0000 0.8275  1 H 1.58
H2 0.6931 0.5000 0.2408  1 As 1.58

Properties
Polymorph energy (0 for the lowest one)   7 meV per atom

---

[4]
Compound: RbTlAsH
Source: Alexandria via LeMat-Bulk
Functional: PBE
Structure: optimized geometry

a = 3.5116 Å, b = 5.2164 Å, c = 6.3790 Å
α = 90.00°, β = 91.82°, γ = 90.00°
Closest atoms and distances in Å follow each position.
Element x y z (fractional)
Rb1 0.7269 0.0000 0.4807  2 H 2.79
Tl1 0.1015 0.5000 0.0767  1 H 1.98
H1 0.7884 0.5000 0.3292  1 Tl 1.98
As1 0.2652 0.0000 0.9606  2 Tl 2.78

Properties
DOS(E_F)   0.7 states/eV/cell
Polymorph energy (0 for the lowest one)   265 meV per atom

---

[5]
Compound: RbTlAsH
Source: Alexandria via LeMat-Bulk
Functional: PBE
Structure: optimized geometry

a = 5.2634 Å, b = 5.2634 Å, c = 4.8595 Å
α = 90.00°, β = 90.00°, γ = 120.00°
Closest atoms and distances in Å follow each position.
Element x y z (fractional)
As1 0.0000 0.0000 0.6212  1 H 1.55
Tl1 0.6667 0.3333 0.4406  3 H 3.11, 3 As 3.16
Rb1 0.3333 0.6667 0.0091  3 H 3.36, 3 As 3.58, 3 Tl 3.69
H1 0.0000 0.0000 0.3017  1 As 1.55

Properties
Polymorph energy (0 for the lowest one)   26 meV per atom

---

[6]
Compound: RbTlAsH
Source: Alexandria via LeMat-Bulk
Functional: PBE
Structure: optimized geometry

a = 4.4777 Å, b = 4.4777 Å, c = 6.4611 Å
α = 90.00°, β = 90.00°, γ = 120.00°
Closest atoms and distances in Å follow each position.
Element x y z (fractional)
As1 0.0000 0.0000 0.1985  3 Tl 2.76
H1 0.3333 0.6667 0.6432  1 Tl 1.90
Rb1 0.6667 0.3333 0.8167  3 H 2.82
Tl1 0.3333 0.6667 0.3486  1 H 1.90

Properties
DOS(E_F)   0.2 states/eV/cell
Polymorph energy (0 for the lowest one)   62 meV per atom

---

no.,theoretical density (g cm⁻³)
1,4.1
2,7.3
3,5.0
4,5.2
5,5.2
6,5.4